# 1
Material: Sr2YHO
Method: DFT, PBE-GGA
State: optimized geometry

Cell: 4.5106 4.5106 6.3566 Å, 90.00 90.00 90.00°
Fractional positions:
Sr 0.0000 0.5000 0.0000
Sr 0.5000 0.0000 0.0000
Y 0.0000 0.0000 0.5000
H 0.5000 0.5000 0.0000
O 0.5000 0.5000 0.5000

Results
The calculation puts the theoretical density at 3.61 g/cm3. As for the final energy: -3.6219 eV/atom. The value obtained for the volume is 129.3 Å³/f.u. Its space-group type is No. 123.

=====

# 2
Material: SrYHO2
Method: DFT, PBE-GGA
State: optimized geometry

Cell: 4.4272 4.4272 4.0890 Å, 90.00 90.00 90.00°
Fractional positions:
Sr 0.0000 0.0000 0.0000
Y 0.5000 0.5000 0.5000
H 0.5000 0.5000 0.0000
O 0.0000 0.5000 0.5000
O 0.5000 0.0000 0.5000

Results
The calculation puts the theoretical density at 4.34 g/cm3. As for the final energy: -6.5551 eV/atom. The value obtained for the volume is 80.1 Å³/f.u. Its space-group type is No. 123.

=====

# 3
Material: SrZnH6O5
Method: DFT, PBE-GGA
State: optimized geometry

Cell: 6.1947 6.4724 7.7536 Å, 90.14 113.05 107.25°
Fractional positions:
Sr 0.1881 0.3978 0.2469
Sr 0.8119 0.6022 0.7531
Zn 0.1325 0.2402 0.7328
Zn 0.8675 0.7598 0.2672
H 0.3015 0.8133 0.5235
H 0.3048 0.0408 0.0665
H 0.3093 0.9424 0.8167
H 0.3294 0.9762 0.2753
H 0.3602 0.5948 0.9438
H 0.4172 0.2201 0.5930
H 0.5828 0.7799 0.4070
H 0.6398 0.4052 0.0562
H 0.6706 0.0238 0.7247
H 0.6907 0.0576 0.1833
H 0.6952 0.9592 0.9335
H 0.6985 0.1867 0.4765
O 0.1737 0.9682 0.8401
O 0.2074 0.4837 0.9317
O 0.2234 0.7800 0.3858
O 0.3442 0.3345 0.5953
O 0.3935 0.0982 0.2082
O 0.6065 0.9018 0.7918
O 0.6558 0.6655 0.4047
O 0.7766 0.2200 0.6142
O 0.7926 0.5163 0.0683
O 0.8263 0.0318 0.1599

Results
The calculation puts the theoretical density at 2.93 g/cm3. As for the final energy: -5.1152 eV/atom. The value obtained for the volume is 135.4 Å³/f.u. Its space-group type is No. 2.

=====

# 4
Material: SrZrHO2
Method: DFT, PBE-GGA
State: optimized geometry

Cell: 4.2568 4.2568 3.8940 Å, 90.00 90.00 90.00°
Fractional positions:
Sr 0.0000 0.0000 0.0000
Zr 0.5000 0.5000 0.5000
H 0.5000 0.5000 0.0000
O 0.0000 0.5000 0.5000
O 0.5000 0.0000 0.5000

Results
The calculation puts the theoretical density at 4.99 g/cm3. As for the final energy: -6.8643 eV/atom. The value obtained for the volume is 70.6 Å³/f.u. Its space-group type is No. 123.

=====

# 5
Material: Ta2H4O7
Method: DFT, PBE-GGA
State: optimized geometry

Cell: 7.7191 7.4921 7.4455 Å, 62.23 59.18 58.59°
Fractional positions:
Ta 0.0000 0.0000 0.0000
Ta 0.0000 0.0000 0.5000
Ta 0.0000 0.5000 0.0000
Ta 0.5000 0.0000 0.0000
H 0.1799 0.5701 0.5701
H 0.2866 0.4634 0.2866
H 0.4299 0.8201 0.8201
H 0.4634 0.2866 0.4634
H 0.5366 0.7134 0.5366
H 0.5701 0.1799 0.1799
H 0.7134 0.5366 0.7134
H 0.8201 0.4299 0.4299
O 0.0492 0.0492 0.7008
O 0.0550 0.6950 0.0550
O 0.0827 0.6673 0.6673
O 0.2992 0.2992 0.9508
O 0.3050 0.9450 0.3050
O 0.3327 0.9173 0.9173
O 0.3750 0.3750 0.3750
O 0.6250 0.6250 0.6250
O 0.6673 0.0827 0.0827
O 0.6950 0.0550 0.6950
O 0.7008 0.7008 0.0492
O 0.9173 0.3327 0.3327
O 0.9450 0.3050 0.9450
O 0.9508 0.9508 0.2992

Results
The calculation puts the theoretical density at 5.23 g/cm3. As for the final energy: -7.4026 eV/atom. The value obtained for the volume is 151.9 Å³/f.u. Its space-group type is No. 70.

=====

# 6
Material: Ta2HO6
Method: DFT, PBE-GGA
State: optimized geometry

Cell: 4.0716 4.0716 7.8396 Å, 97.62 97.62 42.62°
Fractional positions:
Ta 0.2099 0.2099 0.2917
Ta 0.7901 0.7901 0.7083
H 0.5000 0.5000 0.0000
O 0.0971 0.0971 0.7273
O 0.3627 0.3627 0.5526
O 0.3770 0.3770 0.8850
O 0.6230 0.6230 0.1150
O 0.6373 0.6373 0.4474
O 0.9029 0.9029 0.2727

Results
The calculation puts the theoretical density at 8.75 g/cm3. As for the final energy: -8.3628 eV/atom. The value obtained for the volume is 87.1 Å³/f.u. Its space-group type is No. 12.

=====

# 7
Material: Ta2H2O
Method: DFT, PBE-GGA
State: optimized geometry

Cell: 4.1466 4.1466 4.1466 Å, 122.00 122.00 86.57°
Fractional positions:
Ta 0.2500 0.7500 0.5000
Ta 0.7500 0.2500 0.5000
H 0.1440 0.1440 0.0000
H 0.8560 0.8560 0.0000
O 0.5000 0.5000 0.0000

Results
The calculation puts the theoretical density at 12.93 g/cm3. As for the final energy: -6.9957 eV/atom. The value obtained for the volume is 48.8 Å³/f.u. Its space-group type is No. 139.

=====

# 8
Material: TaHO3
Method: DFT, PBE-GGA
State: optimized geometry

Cell: 3.9465 4.1231 3.9471 Å, 90.00 91.10 90.00°
Fractional positions:
Ta 0.0000 0.0000 0.0000
H 0.7552 0.5000 0.2501
O 0.4697 0.0000 0.0338
O 0.9273 0.5000 0.0739
O 0.9657 0.0000 0.5303

Results
The calculation puts the theoretical density at 5.95 g/cm3. As for the final energy: -8.2305 eV/atom. The value obtained for the volume is 64.2 Å³/f.u. Its space-group type is No. 6.

=====

# 9
Material: Ta2H4O7
Method: DFT, PBE-GGA
State: optimized geometry

Cell: 7.4819 7.4819 7.4171 Å, 118.80 118.80 89.76°
Fractional positions:
Ta 0.9999 0.0001 0.0000
Ta 0.0001 0.9999 0.5000
Ta 0.0082 0.4936 0.4871
Ta 0.4936 0.0082 0.9871
H 0.3280 0.6203 0.2612
H 0.4303 0.5846 0.7625
H 0.5482 0.7470 0.5133
H 0.5790 0.8494 0.2710
H 0.5846 0.4303 0.2625
H 0.6203 0.3280 0.7612
H 0.7470 0.5482 0.0133
H 0.8494 0.5790 0.7710
O 0.0271 0.2905 0.5880
O 0.0349 0.9223 0.2308
O 0.0462 0.2986 0.2346
O 0.2905 0.0271 0.0880
O 0.2986 0.0462 0.7346
O 0.3218 0.6648 0.7372
O 0.4818 0.6544 0.3335
O 0.6544 0.4818 0.8335
O 0.6624 0.9203 0.2403
O 0.6648 0.3218 0.2372
O 0.6826 0.9378 0.8790
O 0.9203 0.6624 0.7403
O 0.9223 0.0349 0.7308
O 0.9378 0.6826 0.3790

Results
The calculation puts the theoretical density at 5.21 g/cm3. As for the final energy: -7.5210 eV/atom. The value obtained for the volume is 152.2 Å³/f.u. Its space-group type is No. 9.

=====

# 10
Material: TaH3O
Method: DFT, PBE-GGA
State: optimized geometry

Cell: 3.5038 3.5038 3.5038 Å, 90.00 90.00 90.00°
Fractional positions:
Ta 0.0000 0.0000 0.0000
H 0.0000 0.0000 0.5000
H 0.0000 0.5000 0.0000
H 0.5000 0.0000 0.0000
O 0.5000 0.5000 0.5000

Results
The calculation puts the theoretical density at 7.72 g/cm3. As for the final energy: -4.9228 eV/atom. The value obtained for the volume is 43.0 Å³/f.u. Its space-group type is No. 221.

=====

# 11
Material: Ta2H2O
Method: DFT, PBE-GGA
State: optimized geometry

Cell: 5.8234 5.8234 2.8108 Å, 90.00 90.00 90.00°
Fractional positions:
Ta 0.2213 0.2787 0.0000
Ta 0.2787 0.7787 0.0000
Ta 0.7213 0.2213 0.0000
Ta 0.7787 0.7213 0.0000
H 0.1107 0.6107 0.5000
H 0.3893 0.1107 0.5000
H 0.6107 0.8893 0.5000
H 0.8893 0.3893 0.5000
O 0.0000 0.0000 0.5000
O 0.5000 0.5000 0.5000

Results
The calculation puts the theoretical density at 13.24 g/cm3. As for the final energy: -7.0905 eV/atom. The value obtained for the volume is 47.7 Å³/f.u. Its space-group type is No. 127.

=====

# 12
Material: Ta2H4O7
Method: DFT, PBE-GGA
State: optimized geometry

Cell: 8.1804 7.4083 7.5313 Å, 66.39 56.08 57.52°
Fractional positions:
Ta 0.0089 0.4911 0.2114
Ta 0.0386 0.9614 0.2411
Ta 0.4911 0.0089 0.2886
Ta 0.9614 0.0386 0.7589
H 0.1932 0.1932 0.8068
H 0.2144 0.4209 0.7872
H 0.4209 0.2144 0.5775
H 0.4432 0.4432 0.0568
H 0.4628 0.6725 0.0356
H 0.5843 0.5843 0.4157
H 0.6725 0.4628 0.8291
H 0.8343 0.8343 0.6657
O 0.0413 0.0413 0.9587
O 0.0970 0.5854 0.9220
O 0.2579 0.9395 0.5422
O 0.2809 0.2809 0.7191
O 0.2913 0.2913 0.2087
O 0.3280 0.8545 0.1530
O 0.5309 0.5309 0.9691
O 0.5854 0.0970 0.3955
O 0.6695 0.6695 0.3305
O 0.7078 0.9895 0.9921
O 0.8545 0.3280 0.6646
O 0.9195 0.9195 0.5805
O 0.9395 0.2579 0.2605
O 0.9895 0.7078 0.3105

Results
The calculation puts the theoretical density at 5.02 g/cm3. As for the final energy: -7.4610 eV/atom. The value obtained for the volume is 158.1 Å³/f.u. Its space-group type is No. 43.